Material: Li3Fe2Si2O8
Method: DFT, PBE with a Hubbard U
State: relaxed

Lattice parameters (Å, degrees): 5.2895 5.2895 6.4381 89.42 89.42 87.87
Site moments in Bohr magnetons follow the coordinates.
Element x y z (fractional)
1 Li 0.6908 0.6917 0.2512  0.00
2 Li 0.3083 0.3092 0.7488  0.00
3 Li 0.8195 0.1805 0.5000  0.00
4 Fe 0.6772 0.6845 0.7604  4.06
5 Fe 0.3155 0.3228 0.2396  4.06
6 Si 0.1839 0.8161 0.5000  0.01
7 Si 0.8249 0.1751 0.0000  0.01
8 O 0.7679 0.8735 0.9986  0.08
9 O 0.8711 0.7861 0.5096  0.07
10 O 0.3126 0.6839 0.2945  0.08
11 O 0.3161 0.6874 0.7055  0.08
12 O 0.6941 0.3004 0.2143  0.06
13 O 0.6996 0.3059 0.7857  0.06
14 O 0.1265 0.2321 0.0014  0.08
15 O 0.2139 0.1289 0.4904  0.07

Calculated values
- Magnetization: 0.60 μB/atom
- Energy above the most stable polymorph in this dataset: 30 meV per atom
- Space-group type: No. 5